! Ba2Cd4In5 PBE relaxed; values from VASP
&SYSTEM
  ibrav = 0, nat = 11, ntyp = 3
/
ATOMIC_SPECIES
Ba 137.33 Ba.upf
Cd 112.41 Cd.upf
In 114.82 In.upf
ATOMIC_POSITIONS crystal
Ba 0.233 0.000 0.233
Ba 0.767 0.000 0.767
Cd 0.127 0.354 0.772
Cd 0.418 0.646 0.772
Cd 0.582 0.354 0.228
Cd 0.873 0.646 0.228
In 0.000 0.500 0.500
In 0.263 0.528 0.265
In 0.263 0.999 0.735
In 0.737 0.001 0.265
In 0.737 0.472 0.735
CELL_PARAMETERS angstrom
-3.265 4.874 5.191
3.265 -4.874 5.191
3.265 4.874 -5.191
! E	-2.170	eV/atom
! ΔE_f	-2.668	eV/f.u.
! polymorph energy (0 for the lowest one)	0.0	kJ per mole of atoms